# 1
HfSc2GeBr after structural relaxation, computed with PBEsol.

The value obtained for the total DFT energy (no corrections) is -5.40 eV/atom. As for the formation energy (no corrections): 0.70 eV/atom. Its density of states at the Fermi level is 6.470 states/eV/f.u.

The structure belongs to space group P4/mmm (No. 123); the cell edges are 5.334, 5.334 and 4.831 Å and the angles 90.00°, 90.00° and 90.00°. The inequivalent atoms are Hf at (0.000, 0.000, 0.000), Sc at (0.000, 0.500, 0.000), Ge at (0.500, 0.500, 0.500) and Br at (0.000, 0.000, 0.500).

# 2
HfZnGeBr2 after structural relaxation, computed with PBEsol.

The value obtained for the total DFT energy (no corrections) is -3.58 eV/atom. As for the formation energy (no corrections): 0.57 eV/atom. Its density of states at the Fermi level is 3.412 states/eV/f.u.

The structure belongs to space group P4/mmm (No. 123); the cell edges are 5.108, 5.108 and 5.397 Å and the angles 90.00°, 90.00° and 90.00°. The inequivalent atoms are Hf at (0.000, 0.000, 0.000), Zn at (0.500, 0.500, 0.000), Ge at (0.000, 0.000, 0.500) and Br at (0.000, 0.500, 0.500).

# 3
Hg3GeBr after structural relaxation, computed with PBEsol.

The value obtained for the total DFT energy (no corrections) is -1.74 eV/atom. As for the formation energy (no corrections): -0.04 eV/atom. Its density of states at the Fermi level is 1.740 states/eV/f.u.

The structure belongs to space group Pm-3m (No. 221); the cell edges are 5.190, 5.190 and 5.190 Å and the angles 90.00°, 90.00° and 90.00°. The inequivalent atoms are Hg at (0.000, 0.000, 0.500), Ge at (0.000, 0.000, 0.000) and Br at (0.500, 0.500, 0.500).

# 4
GeIBr2 after structural relaxation, computed with PBEsol.

The value obtained for the total DFT energy (no corrections) is -2.40 eV/atom. As for the formation energy (no corrections): 0.21 eV/atom. Its density of states at the Fermi level is 5.896 states/eV/f.u.

The structure belongs to space group Fm-3m (No. 225); the cell edges are 7.443, 7.443 and 7.443 Å and the angles 90.00°, 90.00° and 90.00°. The inequivalent atoms are Ge at (0.000, 0.000, 0.000), I at (0.000, 0.000, 0.500) and Br at (0.250, 0.250, 0.250).

# 5
GeTeI2Br after structural relaxation, computed with PBEsol.

The value obtained for the total DFT energy (no corrections) is -2.50 eV/atom. As for the formation energy (no corrections): 0.27 eV/atom. Its density of states at the Fermi level is 5.606 states/eV/f.u.

The structure belongs to space group P4/mmm (No. 123); the cell edges are 5.471, 5.471 and 5.487 Å and the angles 90.00°, 90.00° and 90.00°. The inequivalent atoms are Ge at (0.000, 0.000, 0.000), Te at (0.000, 0.000, 0.500), I at (0.000, 0.500, 0.000) and Br at (0.500, 0.500, 0.500).

# 6
InGe3Br after structural relaxation, computed with PBEsol.

The value obtained for the total DFT energy (no corrections) is -3.10 eV/atom. As for the formation energy (no corrections): 0.84 eV/atom. Its density of states at the Fermi level is 6.515 states/eV/f.u.

The structure belongs to space group Pm-3m (No. 221); the cell edges are 5.278, 5.278 and 5.278 Å and the angles 90.00°, 90.00° and 90.00°. The inequivalent atoms are In at (0.000, 0.000, 0.000), Ge at (0.000, 0.000, 0.500) and Br at (0.500, 0.500, 0.500).

# 7
In2GeSBr after structural relaxation, computed with PBEsol.

The value obtained for the total DFT energy (no corrections) is -2.77 eV/atom. As for the formation energy (no corrections): 0.66 eV/atom. Its density of states at the Fermi level is 3.306 states/eV/f.u.

The structure belongs to space group P4/mmm (No. 123); the cell edges are 5.640, 5.640 and 4.728 Å and the angles 90.00°, 90.00° and 90.00°. The inequivalent atoms are In at (0.000, 0.500, 0.000), Ge at (0.000, 0.000, 0.500), S at (0.500, 0.500, 0.500) and Br at (0.500, 0.500, 0.000).

# 8
ZnInGe2Br after structural relaxation, computed with PBEsol.

The value obtained for the total DFT energy (no corrections) is -2.49 eV/atom. As for the formation energy (no corrections): 0.78 eV/atom. Its density of states at the Fermi level is 2.295 states/eV/f.u.

The structure belongs to space group P4/mmm (No. 123); the cell edges are 5.157, 5.157 and 4.911 Å and the angles 90.00°, 90.00° and 90.00°. The inequivalent atoms are Zn at (0.000, 0.000, 0.000), In at (0.500, 0.500, 0.000), Ge at (0.000, 0.500, 0.500) and Br at (0.000, 0.000, 0.500).

# 9
Ge3IrBr after structural relaxation, computed with PBEsol.

The value obtained for the total DFT energy (no corrections) is -3.67 eV/atom. As for the formation energy (no corrections): 1.63 eV/atom. Its density of states at the Fermi level is 4.685 states/eV/f.u.

The structure belongs to space group Pm-3m (No. 221); the cell edges are 4.867, 4.867 and 4.867 Å and the angles 90.00°, 90.00° and 90.00°. The inequivalent atoms are Ge at (0.000, 0.000, 0.500), Ir at (0.500, 0.500, 0.500) and Br at (0.000, 0.000, 0.000).

# 10
KRbGeBr2 after structural relaxation, computed with PBEsol.

The value obtained for the total DFT energy (no corrections) is -2.40 eV/atom. As for the formation energy (no corrections): -0.24 eV/atom. Its density of states at the Fermi level is 1.609 states/eV/f.u.

The structure belongs to space group P4/mmm (No. 123); the cell edges are 5.883, 5.883 and 6.332 Å and the angles 90.00°, 90.00° and 90.00°. The inequivalent atoms are K at (0.000, 0.000, 0.000), Rb at (0.000, 0.000, 0.500), Ge at (0.500, 0.500, 0.500) and Br at (0.000, 0.500, 0.000).

# 11
KSiGeBr2 after structural relaxation, computed with PBEsol.

The value obtained for the total DFT energy (no corrections) is -2.27 eV/atom. As for the formation energy (no corrections): 0.84 eV/atom. Its density of states at the Fermi level is 4.990 states/eV/f.u.

The structure belongs to space group P4/mmm (No. 123); the cell edges are 5.552, 5.552 and 5.755 Å and the angles 90.00°, 90.00° and 90.00°. The inequivalent atoms are K at (0.000, 0.000, 0.000), Si at (0.500, 0.500, 0.500), Ge at (0.000, 0.000, 0.500) and Br at (0.000, 0.500, 0.000).

# 12
La2NbGeBr after structural relaxation, computed with PBEsol.

The value obtained for the total DFT energy (no corrections) is -4.95 eV/atom. As for the formation energy (no corrections): 0.72 eV/atom. Its density of states at the Fermi level is 5.131 states/eV/f.u.

The structure belongs to space group P4/mmm (No. 123); the cell edges are 5.796, 5.796 and 5.042 Å and the angles 90.00°, 90.00° and 90.00°. The inequivalent atoms are La at (0.000, 0.500, 0.000), Nb at (0.000, 0.000, 0.500), Ge at (0.500, 0.500, 0.000) and Br at (0.500, 0.500, 0.500).